Record 1
YTa2Be at its PBEsol-relaxed geometry, computed with SCAN.

Cell: 6.588 6.588 6.588 Å, 90.00 90.00 90.00°
Fractional coordinates of all 16 atoms:
Y: 0.000 0.000 0.000
Y: 0.000 0.500 0.500
Y: 0.500 0.000 0.500
Y: 0.500 0.500 0.000
Ta: 0.000 0.000 0.500
Ta: 0.000 0.500 0.000
Ta: 0.250 0.250 0.750
Ta: 0.250 0.750 0.250
Ta: 0.500 0.000 0.000
Ta: 0.500 0.500 0.500
Ta: 0.750 0.250 0.250
Ta: 0.750 0.750 0.750
Be: 0.250 0.250 0.250
Be: 0.250 0.750 0.750
Be: 0.750 0.250 0.750
Be: 0.750 0.750 0.250

Raw total energy (eV/cell): -654.74
Energy of formation (eV/atom): 0.4194

=====

Record 2
TaBeZn at its PBEsol-relaxed geometry, computed with SCAN.

Cell: 5.820 5.820 5.820 Å, 90.00 90.00 90.00°
Fractional coordinates of all 12 atoms:
Ta: 0.000 0.000 0.000
Ta: 0.000 0.500 0.500
Ta: 0.500 0.000 0.500
Ta: 0.500 0.500 0.000
Be: 0.250 0.250 0.250
Be: 0.250 0.750 0.750
Be: 0.750 0.250 0.750
Be: 0.750 0.750 0.250
Zn: 0.250 0.250 0.750
Zn: 0.250 0.750 0.250
Zn: 0.750 0.250 0.250
Zn: 0.750 0.750 0.750

Raw total energy (eV/cell): -326.33
Energy of formation (eV/atom): 0.9568

=====

Record 3
TaBeZn2 at its PBEsol-relaxed geometry, computed with SCAN.

Cell: 5.166 8.925 2.539 Å, 90.00 109.65 90.00°
Fractional coordinates of all 8 atoms:
Ta: 0.000 0.000 0.000
Ta: 0.500 0.500 0.000
Be: 0.000 0.500 0.000
Be: 0.500 0.000 0.000
Zn: 0.250 0.250 0.500
Zn: 0.250 0.750 0.500
Zn: 0.750 0.250 0.500
Zn: 0.750 0.750 0.500

Raw total energy (eV/cell): -195.15
Energy of formation (eV/atom): 0.0979

=====

Record 4
TaBe4Zn at its PBEsol-relaxed geometry, computed with SCAN.

Cell: 4.477 4.477 4.477 Å, 60.00 60.00 60.00°
Fractional coordinates of all 6 atoms:
Ta: 0.000 0.000 0.000
Be: 0.113 0.629 0.629
Be: 0.629 0.113 0.629
Be: 0.629 0.629 0.113
Be: 0.629 0.629 0.629
Zn: 0.250 0.250 0.250

Raw total energy (eV/cell): -96.87
Energy of formation (eV/atom): 0.1063

=====

Record 5
ZrTa3Be at its PBEsol-relaxed geometry, computed with SCAN.

Cell: 4.797 4.797 4.797 Å, 90.00 90.00 90.00°
Fractional coordinates of all 5 atoms:
Zr: 0.000 0.000 0.000
Ta: 0.000 0.000 0.500
Ta: 0.000 0.500 0.000
Ta: 0.500 0.000 0.000
Be: 0.500 0.500 0.500

Raw total energy (eV/cell): -223.27
Energy of formation (eV/atom): 2.3070

=====

Record 6
Zr2TaBe at its PBEsol-relaxed geometry, computed with SCAN.

Cell: 4.191 4.191 4.033 Å, 90.00 90.00 90.00°
Fractional coordinates of all 4 atoms:
Zr: 0.000 0.500 0.000
Zr: 0.500 0.000 0.000
Ta: 0.000 0.000 0.500
Be: 0.500 0.500 0.500

Raw total energy (eV/cell): -131.84
Energy of formation (eV/atom): 0.1238

=====

Record 7
Zr2TaBe at its PBEsol-relaxed geometry, computed with SCAN.

Cell: 6.543 6.543 6.543 Å, 90.00 90.00 90.00°
Fractional coordinates of all 16 atoms:
Zr: 0.000 0.000 0.000
Zr: 0.000 0.500 0.500
Zr: 0.250 0.250 0.250
Zr: 0.250 0.750 0.750
Zr: 0.500 0.000 0.500
Zr: 0.500 0.500 0.000
Zr: 0.750 0.250 0.750
Zr: 0.750 0.750 0.250
Ta: 0.000 0.000 0.500
Ta: 0.000 0.500 0.000
Ta: 0.500 0.000 0.000
Ta: 0.500 0.500 0.500
Be: 0.250 0.250 0.750
Be: 0.250 0.750 0.250
Be: 0.750 0.250 0.250
Be: 0.750 0.750 0.750

Raw total energy (eV/cell): -524.15
Energy of formation (eV/atom): 0.3242

=====

Record 8
Zr2TaBe at its PBEsol-relaxed geometry, computed with SCAN.

Cell: 3.053 3.578 6.475 Å, 90.00 90.00 90.00°
Fractional coordinates of all 4 atoms:
Zr: 0.000 0.000 0.231
Zr: 0.000 0.000 0.769
Ta: 0.500 0.500 0.500
Be: 0.500 0.500 0.000

Raw total energy (eV/cell): -132.10
Energy of formation (eV/atom): 0.0594

=====

Record 9
ZrTa2Be at its PBEsol-relaxed geometry, computed with SCAN.

Cell: 3.635 4.228 4.346 Å, 90.00 90.00 90.00°
Fractional coordinates of all 4 atoms:
Zr: 0.000 0.000 0.000
Ta: 0.000 0.500 0.500
Ta: 0.500 0.000 0.500
Be: 0.500 0.500 0.000

Raw total energy (eV/cell): -167.69
Energy of formation (eV/atom): 0.1332

=====

Record 10
ZrTa2Be at its PBEsol-relaxed geometry, computed with SCAN.

Cell: 3.286 3.286 6.159 Å, 90.00 90.00 90.00°
Fractional coordinates of all 4 atoms:
Zr: 0.000 0.000 0.000
Ta: 0.000 0.000 0.467
Ta: 0.500 0.500 0.713
Be: 0.500 0.500 0.266

Raw total energy (eV/cell): -168.04
Energy of formation (eV/atom): 0.0437

=====

Record 11
ZrTaBe2 at its PBEsol-relaxed geometry, computed with SCAN.

Cell: 2.928 3.432 5.642 Å, 90.00 90.00 90.00°
Fractional coordinates of all 4 atoms:
Zr: 0.000 0.000 0.000
Ta: 0.000 0.000 0.500
Be: 0.500 0.500 0.287
Be: 0.500 0.500 0.713

Raw total energy (eV/cell): -106.08
Energy of formation (eV/atom): -0.0225

=====

Record 12
BeTc3 at its PBEsol-relaxed geometry, computed with SCAN.

Cell: 4.131 4.131 3.005 Å, 90.00 90.00 90.00°
Fractional coordinates of all 4 atoms:
Be: 0.000 0.000 0.000
Tc: 0.000 0.500 0.500
Tc: 0.500 0.000 0.500
Tc: 0.500 0.500 0.000

Raw total energy (eV/cell): -109.28
Energy of formation (eV/atom): 0.0628

=====

Record 13
BeTc at its PBEsol-relaxed geometry, computed with SCAN.

Cell: 4.856 4.856 4.856 Å, 90.00 90.00 90.00°
Fractional coordinates of all 8 atoms:
Be: 0.000 0.000 0.000
Be: 0.000 0.500 0.500
Be: 0.500 0.000 0.500
Be: 0.500 0.500 0.000
Tc: 0.250 0.250 0.250
Tc: 0.250 0.750 0.750
Tc: 0.750 0.250 0.750
Tc: 0.750 0.750 0.250

Raw total energy (eV/cell): -144.34
Energy of formation (eV/atom): 1.6638

=====

Record 14
Be2Tc at its PBEsol-relaxed geometry, computed with SCAN.

Cell: 4.321 4.321 4.321 Å, 60.00 60.00 60.00°
Fractional coordinates of all 6 atoms:
Be: 0.000 0.000 0.000
Be: 0.000 0.000 0.500
Be: 0.000 0.500 0.000
Be: 0.500 0.000 0.000
Tc: 0.375 0.375 0.375
Tc: 0.625 0.625 0.625

Raw total energy (eV/cell): -90.18
Energy of formation (eV/atom): -0.4402

=====

Record 15
Be3Tc5 at its PBEsol-relaxed geometry, computed with SCAN.

Cell: 6.759 6.759 6.759 Å, 96.67 96.67 140.15°
Fractional coordinates of all 16 atoms:
Be: 0.170 0.670 0.839
Be: 0.250 0.250 0.000
Be: 0.330 0.170 0.500
Be: 0.670 0.830 0.500
Be: 0.750 0.750 0.000
Be: 0.830 0.330 0.161
Tc: 0.076 0.224 0.300
Tc: 0.224 0.924 0.148
Tc: 0.250 0.750 0.500
Tc: 0.276 0.424 0.700
Tc: 0.424 0.724 0.148
Tc: 0.576 0.276 0.852
Tc: 0.724 0.576 0.300
Tc: 0.750 0.250 0.500
Tc: 0.776 0.076 0.852
Tc: 0.924 0.776 0.700

Raw total energy (eV/cell): -381.16
Energy of formation (eV/atom): -0.2774

=====

Record 16
BeTc3 at its PBEsol-relaxed geometry, computed with SCAN.

Cell: 8.269 8.269 2.629 Å, 90.00 90.00 120.00°
Fractional coordinates of all 12 atoms:
Be: 0.000 0.000 0.000
Be: 0.333 0.667 0.667
Be: 0.667 0.333 0.333
Tc: 0.000 0.500 0.000
Tc: 0.167 0.333 0.333
Tc: 0.167 0.833 0.333
Tc: 0.333 0.167 0.667
Tc: 0.500 0.000 0.000
Tc: 0.500 0.500 0.000
Tc: 0.667 0.833 0.333
Tc: 0.833 0.167 0.667
Tc: 0.833 0.667 0.667

Raw total energy (eV/cell): -327.72
Energy of formation (eV/atom): 0.0735

=====

Record 17
Be22Tc at its PBEsol-relaxed geometry, computed with SCAN.

Cell: 8.098 8.098 8.098 Å, 60.00 60.00 60.00°
Fractional coordinates of all 46 atoms:
Be: 0.000 0.000 0.000
Be: 0.000 0.000 0.500
Be: 0.000 0.500 0.000
Be: 0.000 0.500 0.500
Be: 0.010 0.010 0.740
Be: 0.010 0.740 0.010
Be: 0.010 0.740 0.740
Be: 0.176 0.176 0.443
Be: 0.176 0.176 0.705
Be: 0.176 0.443 0.176
Be: 0.176 0.443 0.705
Be: 0.176 0.705 0.176
Be: 0.176 0.705 0.443
Be: 0.260 0.260 0.990
Be: 0.260 0.990 0.260
Be: 0.260 0.990 0.990
Be: 0.295 0.557 0.824
Be: 0.295 0.824 0.557
Be: 0.295 0.824 0.824
Be: 0.443 0.176 0.176
Be: 0.443 0.176 0.705
Be: 0.443 0.705 0.176
Be: 0.500 0.000 0.000
Be: 0.500 0.000 0.500
Be: 0.500 0.500 0.000
Be: 0.500 0.500 0.500
Be: 0.557 0.295 0.824
Be: 0.557 0.824 0.295
Be: 0.557 0.824 0.824
Be: 0.705 0.176 0.176
Be: 0.705 0.176 0.443
Be: 0.705 0.443 0.176
Be: 0.740 0.010 0.010
Be: 0.740 0.010 0.740
Be: 0.740 0.740 0.010
Be: 0.824 0.295 0.557
Be: 0.824 0.295 0.824
Be: 0.824 0.557 0.295
Be: 0.824 0.557 0.824
Be: 0.824 0.824 0.295
Be: 0.824 0.824 0.557
Be: 0.990 0.260 0.260
Be: 0.990 0.260 0.990
Be: 0.990 0.990 0.260
Tc: 0.375 0.375 0.375
Tc: 0.625 0.625 0.625

Raw total energy (eV/cell): -264.55
Energy of formation (eV/atom): -0.0625

=====

Record 18
Be2Tc at its PBEsol-relaxed geometry, computed with SCAN.

Cell: 4.320 4.320 14.113 Å, 90.00 90.00 120.00°
Fractional coordinates of all 24 atoms:
Be: 0.000 0.500 0.000
Be: 0.000 0.500 0.500
Be: 0.164 0.327 0.250
Be: 0.164 0.836 0.250
Be: 0.327 0.164 0.750
Be: 0.333 0.667 0.125
Be: 0.333 0.667 0.375
Be: 0.500 0.000 0.000
Be: 0.500 0.000 0.500
Be: 0.500 0.500 0.000
Be: 0.500 0.500 0.500
Be: 0.667 0.333 0.625
Be: 0.667 0.333 0.875
Be: 0.673 0.836 0.250
Be: 0.836 0.164 0.750
Be: 0.836 0.673 0.750
Tc: 0.000 0.000 0.095
Tc: 0.000 0.000 0.405
Tc: 0.000 0.000 0.595
Tc: 0.000 0.000 0.905
Tc: 0.333 0.667 0.658
Tc: 0.333 0.667 0.842
Tc: 0.667 0.333 0.158
Tc: 0.667 0.333 0.342

Raw total energy (eV/cell): -360.84
Energy of formation (eV/atom): -0.4459

=====

Record 19
Be2Tc at its PBEsol-relaxed geometry, computed with SCAN.

Cell: 4.168 4.168 2.353 Å, 90.00 90.00 90.00°
Fractional coordinates of all 3 atoms:
Be: 0.000 0.500 0.000
Be: 0.500 0.000 0.000
Tc: 0.000 0.000 0.500

Raw total energy (eV/cell): -42.79
Energy of formation (eV/atom): 0.3268

=====

Record 20
BeTc at its PBEsol-relaxed geometry, computed with SCAN.

Cell: 3.058 8.685 3.168 Å, 90.00 90.00 90.00°
Fractional coordinates of all 8 atoms:
Be: 0.000 0.070 0.250
Be: 0.000 0.930 0.750
Be: 0.500 0.430 0.750
Be: 0.500 0.570 0.250
Tc: 0.000 0.350 0.250
Tc: 0.000 0.650 0.750
Tc: 0.500 0.150 0.750
Tc: 0.500 0.850 0.250

Raw total energy (eV/cell): -160.02
Energy of formation (eV/atom): -0.2955